A plane-wave DFT calculation with PBEsol was carried out for Ca2Y after structural relaxation.

Properties
Energy relative to the elements: 0.084 eV/atom

a = 3.713 Å, b = 19.672 Å, c = 5.937 Å
α = 90.00°, β = 90.00°, γ = 90.00°
Space group Cmcm (No. 63)
Asymmetric unit:
Ca 0.000 0.060 0.250 x4
Ca 0.000 0.382 0.250 x4
Y 0.000 0.275 0.750 x4